Crystalline Na2MgHgBr6 at its relaxed geometry. Source: Alexandria, functional PBE. Values from VASP.

Geometry as Quantum ESPRESSO input:
```
&SYSTEM
  ibrav = 0, nat = 10, ntyp = 4
/
ATOMIC_SPECIES
Br 79.90 Br.upf
Na 22.99 Na.upf
Mg 24.30 Mg.upf
Hg 200.59 Hg.upf
ATOMIC_POSITIONS crystal
Br 0.1966 0.9355 0.2627
Br 0.9360 0.6047 0.2627
Br 0.7073 0.0838 0.7528
Br 0.6052 0.1958 0.2638
Br 0.0829 0.4571 0.7521
Br 0.4563 0.7076 0.7524
Na 0.0246 0.0256 0.9250
Na 0.5175 0.5175 0.4474
Mg 0.8195 0.8194 0.5413
Hg 0.3157 0.3146 0.0550
CELL_PARAMETERS angstrom
7.2959 0.0020 0.0082
3.6497 6.3083 0.0029
3.6553 2.1024 6.3715
```

Crystalline MgHg2Br6O6 at its relaxed geometry. Source: Alexandria, functional PBE. Values from VASP.

Geometry as Quantum ESPRESSO input:
```
&SYSTEM
  ibrav = 0, nat = 30, ntyp = 4
/
ATOMIC_SPECIES
O 16.00 O.upf
Br 79.90 Br.upf
Mg 24.30 Mg.upf
Hg 200.59 Hg.upf
ATOMIC_POSITIONS crystal
O 0.3471 0.9427 0.0847
O 0.0573 0.6529 0.4153
O 0.1448 0.8552 0.7500
O 0.8685 0.0938 0.6117
O 0.0938 0.8685 0.1117
O 0.1315 0.9062 0.3883
O 0.5574 0.4426 0.7500
O 0.9427 0.3471 0.5847
O 0.6529 0.0573 0.9153
O 0.8552 0.1448 0.2500
O 0.4426 0.5574 0.2500
O 0.9062 0.1315 0.8883
Br 0.7321 0.2352 0.0250
Br 0.9081 0.5834 0.8638
Br 0.0525 0.3833 0.4128
Br 0.9475 0.6167 0.5872
Br 0.2352 0.7321 0.5250
Br 0.3833 0.0525 0.9128
Br 0.2679 0.7648 0.9750
Br 0.5834 0.9081 0.3638
Br 0.7648 0.2679 0.4750
Br 0.6167 0.9475 0.0872
Br 0.4166 0.0919 0.6362
Br 0.0919 0.4166 0.1362
Mg 0.1486 0.8514 0.2500
Mg 0.8514 0.1486 0.7500
Hg 0.5440 0.2506 0.4008
Hg 0.4560 0.7494 0.5992
Hg 0.7494 0.4560 0.0992
Hg 0.2506 0.5440 0.9008
CELL_PARAMETERS angstrom
3.3569 10.4232 -0.2499
-3.3569 10.4232 -0.2499
0.0000 9.6340 9.8398
```

Crystalline Mg2HgPdBr at its relaxed geometry. Source: Alexandria, functional PBE. Values from VASP.

Geometry as Quantum ESPRESSO input:
```
&SYSTEM
  ibrav = 0, nat = 5, ntyp = 4
/
ATOMIC_SPECIES
Pd 106.42 Pd.upf
Hg 200.59 Hg.upf
Mg 24.30 Mg.upf
Br 79.90 Br.upf
ATOMIC_POSITIONS crystal
Pd 0.0000 0.5000 0.0000
Hg 0.0000 0.0000 0.0000
Mg 0.5000 0.0000 0.0000
Mg 0.0000 0.0000 0.5000
Br 0.5000 0.5000 0.5000
CELL_PARAMETERS angstrom
-3.8489 1.7742 -3.2026
-0.3735 -4.6795 -2.1435
-3.6409 -1.3669 3.6185
```

Crystalline Rb3MgHg2Br9 at its relaxed geometry. Source: Alexandria, functional PBE. Values from VASP.

Geometry as Quantum ESPRESSO input:
```
&SYSTEM
  ibrav = 0, nat = 15, ntyp = 4
/
ATOMIC_SPECIES
Rb 85.47 Rb.upf
Br 79.90 Br.upf
Mg 24.30 Mg.upf
Hg 200.59 Hg.upf
ATOMIC_POSITIONS crystal
Rb 0.6667 0.3333 0.3360
Rb 0.3333 0.6667 0.6640
Rb 0.0000 0.0000 0.0000
Br 0.8379 0.6757 0.6604
Br 0.1621 0.8379 0.3396
Br 0.1621 0.3243 0.3396
Br 0.8379 0.1621 0.6604
Br 0.5000 0.5000 0.0000
Br 0.6757 0.8379 0.3396
Br 0.0000 0.5000 0.0000
Br 0.3243 0.1621 0.6604
Br 0.5000 0.0000 0.0000
Mg 0.0000 0.0000 0.5000
Hg 0.3333 0.6667 0.1728
Hg 0.6667 0.3333 0.8272
CELL_PARAMETERS angstrom
-1.0304 4.1332 -6.6008
6.0757 -4.9397 0.6334
-5.4108 -7.1185 -3.6127
```

Crystalline RbMgHgBr2 at its relaxed geometry. Source: Alexandria, functional PBE. Values from VASP.

Geometry as Quantum ESPRESSO input:
```
&SYSTEM
  ibrav = 0, nat = 5, ntyp = 4
/
ATOMIC_SPECIES
Br 79.90 Br.upf
Mg 24.30 Mg.upf
Hg 200.59 Hg.upf
Rb 85.47 Rb.upf
ATOMIC_POSITIONS crystal
Br 0.0000 0.5000 0.0000
Br 0.5000 0.0000 0.0000
Mg 0.0000 0.0000 0.0000
Hg 0.0000 0.0000 0.5000
Rb 0.5000 0.5000 0.5000
CELL_PARAMETERS angstrom
-3.9090 3.3006 -2.4844
1.0385 -2.5253 -4.9891
-3.9033 -3.7902 1.1060
```

! PBE Rb2MgHgBr6, optimized geometry; values from VASP
&SYSTEM
  ibrav = 0, nat = 20, ntyp = 4
/
ATOMIC_SPECIES
Br 79.90 Br.upf
Rb 85.47 Rb.upf
Hg 200.59 Hg.upf
Mg 24.30 Mg.upf
ATOMIC_POSITIONS crystal
Br 0.0884 0.4909 0.7645
Br 0.7368 0.3060 0.5385
Br 0.6922 0.2656 0.9621
Br 0.2632 0.6940 0.4615
Br 0.3078 0.7344 0.0379
Br 0.8078 0.7656 0.5379
Br 0.9116 0.5091 0.2355
Br 0.2368 0.1940 0.0385
Br 0.4116 0.9909 0.7355
Br 0.7632 0.8060 0.9615
Br 0.5884 0.0091 0.2645
Br 0.1922 0.2344 0.4621
Rb 0.0223 0.9458 0.2580
Rb 0.9777 0.0542 0.7420
Rb 0.5223 0.5542 0.7580
Rb 0.4777 0.4458 0.2420
Hg 0.5000 0.0000 0.5000
Hg 0.0000 0.5000 0.0000
Mg 0.5000 0.0000 0.0000
Mg 0.0000 0.5000 0.5000
CELL_PARAMETERS angstrom
8.0247 0.0000 0.2117
0.0000 8.0071 0.0000
0.3699 0.0000 10.7041
! - Energy above the most stable polymorph in this dataset: 0.000 eV/f.u.

Q: Which energy relative to the elements, uncorrected values were calculated for the entries above? A: -1147 -175 177 -1130 -944 -1252, in meV/atom.